Entry 1:
## Ga2HgSe3 (PBE)

Data for an optimized crystal structure of Ga2HgSe3.

Unit cell a=9.852 b=3.862 c=10.967 alpha=90.00 beta=100.69 gamma=90.00
Space group P2_1/m (No. 11)
Inequivalent atoms, fractional coordinates:
Ga1 0.046 0.250 0.394 x2
Ga2 0.111 0.250 0.090 x2
Hg1 0.486 0.250 0.861 x2
Se1 0.118 0.250 0.627 x2
Se2 0.148 0.750 0.954 x2
Se3 0.238 0.250 0.294 x2

Computed properties:
Crystal system ... monoclinic
ΔE_f (raw) ... -270 kJ/mol of formula units
Final energy ... -3.268 eV/atom

***

Entry 2:
## KMgMn (PBE)

Data for an optimized crystal structure of KMgMn.

Unit cell a=3.3297 b=3.3297 c=8.6081 alpha=90.00 beta=90.00 gamma=120.00
Space group P3m1 (No. 156)
Inequivalent atoms, fractional coordinates:
K1 0.0000 0.0000 0.0000 x1
Mg1 0.6667 0.3333 0.3829 x1
Mn1 0.3333 0.6667 0.6405 x1

Computed properties:
Crystal system ... trigonal
Final energy ... -3.243 eV/atom
E above lowest polymorph ... 120 meV/atom
Calculated formation energy ... 0.711 eV per atom

***

Entry 3:
## Cr3NiMo (PBE)

Data for an optimized crystal structure of Cr3NiMo.

Unit cell a=4.188 b=4.188 c=4.188 alpha=90.00 beta=90.00 gamma=90.00
Space group Pm-3m (No. 221)
Inequivalent atoms, fractional coordinates:
Cr1 0.000 0.000 0.500 x3
Ni1 0.000 0.000 0.000 x1
Mo1 0.500 0.500 0.500 x1

Computed properties:
Crystal system ... cubic
Final energy ... -7.677 eV/atom
E above lowest polymorph ... 0 meV/atom
Calculated formation energy ... 1.420 eV per atom

***

Entry 4:
## Mg3Tc2 (PBE)

Data for an optimized crystal structure of Mg3Tc2.

Unit cell a=9.944 b=15.147 c=4.613 alpha=90.00 beta=90.00 gamma=90.00
Space group Fdd2 (No. 43)
Inequivalent atoms, fractional coordinates:
Mg1 0.000 0.000 0.000 x8
Mg2 0.027 0.398 0.002 x16
Tc1 0.009 0.286 0.527 x16

Computed properties:
Crystal system ... orthorhombic
Final energy ... -4.842 eV/atom
E above lowest polymorph ... 264 meV/atom
Calculated formation energy ... 0.261 eV per atom

***

Entry 5:
## MgTa2Ir (PBE)

Data for an optimized crystal structure of MgTa2Ir.

Unit cell a=3.939 b=3.939 c=8.741 alpha=90.00 beta=90.00 gamma=90.00
Space group I4/mmm (No. 139)
Inequivalent atoms, fractional coordinates:
Mg1 0.000 0.000 0.000 x2
Ta1 0.000 0.500 0.250 x4
Ir1 0.000 0.000 0.500 x2

Computed properties:
Crystal system ... tetragonal
Final energy ... -8.580 eV/atom
Calculated formation energy ... -0.040 eV per atom

***

Entry 6:
## CePuNp2P4 (PBE)

Data for an optimized crystal structure of CePuNp2P4.

Unit cell a=6.929 b=3.989 c=6.938 alpha=90.00 beta=109.39 gamma=90.00
Space group P2/m (No. 10)
Inequivalent atoms, fractional coordinates:
Ce1 0.000 0.000 0.000 x1
Pu1 0.500 0.500 0.000 x1
Np1 0.000 0.500 0.500 x1
Np2 0.500 0.000 0.500 x1
P1 0.252 0.000 0.744 x2
P2 0.256 0.500 0.258 x2

Computed properties:
Crystal system ... monoclinic
Final energy ... -9.538 eV/atom
Calculated formation energy ... -1.064 eV per atom

***

Entry 7:
## GePtCl3 (PBE)

Data for an optimized crystal structure of GePtCl3.

Unit cell a=4.898 b=4.898 c=4.898 alpha=90.00 beta=90.00 gamma=90.00
Space group Pm-3m (No. 221)
Inequivalent atoms, fractional coordinates:
Ge1 0.000 0.000 0.000 x1
Pt1 0.500 0.500 0.500 x1
Cl1 0.000 0.500 0.500 x3

Computed properties:
Crystal system ... cubic
ΔE_f (raw) ... 40 kJ/mol of formula units
Final energy ... -3.157 eV/atom
E above lowest polymorph ... 0 meV/atom

***

Entry 8:
## TaV2HgCl (PBE)

Data for an optimized crystal structure of TaV2HgCl.

Unit cell a=4.246 b=4.246 c=5.249 alpha=90.00 beta=90.00 gamma=90.00
Space group P4/mmm (No. 123)
Inequivalent atoms, fractional coordinates:
Ta1 0.000 0.000 0.000 x1
V1 0.000 0.500 0.500 x2
Hg1 0.500 0.500 0.000 x1
Cl1 0.500 0.500 0.500 x1

Computed properties:
Crystal system ... tetragonal
ΔE_f (raw) ... 498 kJ/mol of formula units
Final energy ... -5.414 eV/atom

***

Entry 9:
## B2AsSe (PBE)

Data for an optimized crystal structure of B2AsSe.

Unit cell a=4.899 b=4.899 c=9.656 alpha=90.00 beta=90.00 gamma=90.00
Space group I-42d (No. 122)
Inequivalent atoms, fractional coordinates:
B1 0.232 0.250 0.125 x8
As1 0.000 0.000 0.000 x4
Se1 0.000 0.000 0.500 x4

Computed properties:
Crystal system ... tetragonal
ΔE_f (raw) ... 175 kJ/mol of formula units
Final energy ... -4.920 eV/atom
E above lowest polymorph ... 0 meV/atom

***

Entry 10:
## Tb3PrY2As6 (PBE)

Data for an optimized crystal structure of Tb3PrY2As6.

Unit cell a=7.211 b=12.489 c=7.213 alpha=90.00 beta=109.46 gamma=90.00
Space group C2/m (No. 12)
Inequivalent atoms, fractional coordinates:
Tb1 0.000 0.000 0.000 x2
Tb2 0.000 0.335 0.000 x4
Pr1 0.000 0.500 0.500 x2
Y1 0.000 0.167 0.500 x4
As1 0.245 0.000 0.752 x4
As2 0.246 0.170 0.247 x8

Computed properties:
Crystal system ... monoclinic
Final energy ... -6.491 eV/atom
Calculated formation energy ... -1.533 eV per atom

***

Entry 11:
## LaNdTm2Hg4 (PBE)

Data for an optimized crystal structure of LaNdTm2Hg4.

Unit cell a=5.3534 b=5.3534 c=26.2164 alpha=90.00 beta=90.00 gamma=120.00
Space group R-3m (No. 166, hexagonal axes)
Inequivalent atoms, fractional coordinates:
La1 0.0000 0.0000 0.0000 x3
Nd1 0.0000 0.0000 0.5000 x3
Tm1 0.0000 0.0000 0.2494 x6
Hg1 0.0000 0.0000 0.1261 x6
Hg2 0.0000 0.0000 0.3760 x6

Computed properties:
Crystal system ... trigonal
Final energy ... -2.942 eV/atom
Calculated formation energy ... -0.462 eV per atom

***

Entry 12:
## Sc5Sn2Ir2Au (PBE)

Data for an optimized crystal structure of Sc5Sn2Ir2Au.

Unit cell a=11.172 b=11.172 c=3.391 alpha=90.00 beta=90.00 gamma=90.00
Space group P4/mbm (No. 127)
Inequivalent atoms, fractional coordinates:
Sc1 0.000 0.500 0.000 x2
Sc2 0.072 0.199 0.000 x8
Sn1 0.173 0.673 0.500 x4
Ir1 0.133 0.367 0.500 x4
Au1 0.000 0.000 0.500 x2

Computed properties:
Crystal system ... tetragonal
Final energy ... -6.766 eV/atom
Calculated formation energy ... -0.700 eV per atom